## MnTeI2O (PBE+U)

Data for an optimized crystal structure of MnTeI2O.

Calculated values
- Spin magnetization: 1.04 μB per atom
- Uncorrected energy: -3.14 eV/atom

```
5
Lattice="5.6662 0.0000 0.0000 0.0000 5.6662 0.0000 0.0000 0.0000 5.4684" Properties=species:S:1:pos:R:3 pbc="T T T"
Mn 0.0000 0.0000 0.0000
Te 0.0000 0.0000 2.7342
I 0.0000 2.8331 0.0000
I 2.8331 0.0000 0.0000
O 2.8331 2.8331 2.7342
```